Entry one
VASP calculation (PBE) on crystalline Pu2TaN3 at its relaxed geometry. Values from VASP.

Structure (Quantum ESPRESSO input):
```
&SYSTEM
  ibrav = 0, nat = 6, ntyp = 3
/
ATOMIC_SPECIES
Pu 244.00 Pu.upf
Ta 180.95 Ta.upf
N 14.01 N.upf
CELL_PARAMETERS angstrom
-1.6557 2.3506 5.0746
1.6557 -2.3506 5.0746
1.6557 2.3506 -5.0746
ATOMIC_POSITIONS angstrom
Pu 0.0000 0.0000 1.6985
Pu 0.0000 0.0000 8.4508
Ta 0.0000 0.0000 5.0746
N 1.6557 0.0000 0.0000
N 1.6557 0.0000 3.5681
N 0.0000 2.3506 1.5065
```

- D(E_F): 13.273 states/eV per cell
- Calculated density: 14.94 g cm⁻³

Entry two
VASP calculation (PBE) on crystalline Pu2TaN3 at its relaxed geometry. Values from VASP.

Structure (Quantum ESPRESSO input):
```
&SYSTEM
  ibrav = 0, nat = 24, ntyp = 3
/
ATOMIC_SPECIES
Pu 244.00 Pu.upf
Ta 180.95 Ta.upf
N 14.01 N.upf
CELL_PARAMETERS angstrom
0.0000 4.6957 9.9855
3.3569 0.0000 9.9855
3.3569 4.6957 0.0000
ATOMIC_POSITIONS angstrom
Pu 0.8392 1.1739 0.8536
Pu 2.5177 3.5217 2.4608
Pu 0.8392 1.1739 4.1392
Pu 4.1961 5.8696 7.4536
Pu 2.5177 3.5217 12.5175
Pu 5.8746 8.2174 15.8319
Pu 4.1961 5.8696 17.5103
Pu 5.8746 8.2174 19.1175
Ta 2.5177 3.5217 5.7917
Ta 2.5177 3.5217 9.1866
Ta 4.1961 5.8696 10.7844
Ta 4.1961 5.8696 14.1794
N 2.6204 1.2965 5.7332
N 3.9896 3.5217 7.4891
N 2.4149 1.2965 9.2451
N 4.0934 3.6443 10.7260
N 5.6681 5.8696 12.4819
N 4.2989 3.6443 14.2379
N 2.4149 5.7470 5.7332
N 1.0458 3.5217 7.4891
N 2.6204 5.7470 9.2451
N 4.2989 8.0949 10.7260
N 2.7242 5.8696 12.4819
N 4.0934 8.0949 14.2379
```

- D(E_F): 47.911 states/eV per cell
- Calculated density: 15.00 g cm⁻³

Most stable = entry two

Entry one
VASP calculation (PBE) on crystalline PuTa2N4 at its relaxed geometry. Values from VASP.

Structure (Quantum ESPRESSO input):
```
&SYSTEM
  ibrav = 0, nat = 14, ntyp = 3
/
ATOMIC_SPECIES
Pu 244.00 Pu.upf
Ta 180.95 Ta.upf
N 14.01 N.upf
CELL_PARAMETERS angstrom
1.5706 -5.1437 0.0000
1.5706 5.1437 0.0000
0.0000 0.0000 10.3843
ATOMIC_POSITIONS angstrom
Pu 1.5706 3.9652 7.7882
Pu 1.5706 -3.9652 2.5961
Ta 1.5706 1.3311 5.8839
Ta 1.5706 1.3311 9.6925
Ta 1.5706 -1.3311 0.6918
Ta 1.5706 -1.3311 4.5003
N 0.0000 0.0000 0.0000
N 0.0000 0.0000 5.1921
N 1.5706 2.4189 1.1776
N 1.5706 2.4189 4.0145
N 1.5706 0.6234 7.7882
N 1.5706 -0.6234 2.5961
N 1.5706 -2.4189 6.3698
N 1.5706 -2.4189 9.2066
```

- D(E_F): 18.179 states/eV per cell
- Calculated density: 13.10 g cm⁻³

Entry two
VASP calculation (PBE) on crystalline PuTa2N4 at its relaxed geometry. Values from VASP.

Structure (Quantum ESPRESSO input):
```
&SYSTEM
  ibrav = 0, nat = 14, ntyp = 3
/
ATOMIC_SPECIES
Pu 244.00 Pu.upf
Ta 180.95 Ta.upf
N 14.01 N.upf
CELL_PARAMETERS angstrom
0.0000 4.5534 4.5534
4.5534 0.0000 4.5534
4.5534 4.5534 0.0000
ATOMIC_POSITIONS angstrom
Pu 1.1384 1.1384 1.1384
Pu 7.9685 7.9685 7.9685
Ta 4.5534 2.2767 2.2767
Ta 2.2767 4.5534 2.2767
Ta 2.2767 2.2767 4.5534
Ta 4.5534 4.5534 4.5534
N 2.4275 2.4275 2.4275
N 4.4027 4.4027 2.4275
N 4.4027 2.4275 4.4027
N 6.6794 4.7042 4.7042
N 2.4275 4.4027 4.4027
N 4.7042 6.6794 4.7042
N 4.7042 4.7042 6.6794
N 6.6794 6.6794 6.6794
```

- D(E_F): 23.123 states/eV per cell
- Calculated density: 11.64 g cm⁻³

Most stable = entry one

Entry one
VASP calculation (PBE) on crystalline TbPu2N4 at its relaxed geometry. Values from VASP.

Structure (Quantum ESPRESSO input):
```
&SYSTEM
  ibrav = 0, nat = 14, ntyp = 3
/
ATOMIC_SPECIES
Tb 158.93 Tb.upf
Pu 244.00 Pu.upf
N 14.01 N.upf
CELL_PARAMETERS angstrom
-3.6460 3.6460 3.4920
3.6460 -3.6460 3.4920
3.6460 3.6460 -3.4920
ATOMIC_POSITIONS angstrom
Tb 0.0000 0.0000 0.0000
Tb 0.0000 3.6460 1.7460
Pu 1.8230 2.7182 -0.8730
Pu 4.5738 1.8230 0.8730
Pu 1.8230 0.9278 2.6190
Pu -0.9278 1.8230 4.3650
N 4.9792 -0.4558 0.5200
N 2.3129 0.4558 0.5200
N 4.1018 2.3129 -1.2260
N 3.1902 -1.3331 2.9720
N -0.4558 1.3331 2.2660
N 4.1018 1.3331 2.9720
N 2.3129 3.1902 1.2260
N 1.3331 0.4558 4.7180
```

- D(E_F): 20.514 states/eV per cell
- Calculated density: 12.57 g cm⁻³

Entry two
VASP calculation (PBE) on crystalline TbPu2N4 at its relaxed geometry. Values from VASP.

Structure (Quantum ESPRESSO input):
```
&SYSTEM
  ibrav = 0, nat = 14, ntyp = 3
/
ATOMIC_SPECIES
Tb 158.93 Tb.upf
Pu 244.00 Pu.upf
N 14.01 N.upf
CELL_PARAMETERS angstrom
1.6939 -5.6511 0.0000
1.6939 5.6511 0.0000
0.0000 0.0000 10.4363
ATOMIC_POSITIONS angstrom
Tb 1.6939 4.4399 7.8273
Tb 1.6939 -4.4399 2.6091
Pu 1.6939 1.4876 5.9536
Pu 1.6939 1.4876 9.7010
Pu 1.6939 -1.4876 0.7354
Pu 1.6939 -1.4876 4.4828
N 0.0000 0.0000 0.0000
N 0.0000 0.0000 5.2182
N 1.6939 2.5644 1.1232
N 1.6939 2.5644 4.0949
N 1.6939 0.4125 7.8273
N 1.6939 -0.4125 2.6091
N 1.6939 -2.5644 6.3414
N 1.6939 -2.5644 9.3131
```

- D(E_F): 21.969 states/eV per cell
- Calculated density: 11.68 g cm⁻³

Most stable = entry two

Entry one
VASP calculation (PBE) on crystalline Tb4PuN4 at its relaxed geometry. Values from VASP.

Structure (Quantum ESPRESSO input):
```
&SYSTEM
  ibrav = 0, nat = 9, ntyp = 3
/
ATOMIC_SPECIES
Tb 158.93 Tb.upf
Pu 244.00 Pu.upf
N 14.01 N.upf
CELL_PARAMETERS angstrom
-2.8294 2.8294 5.4971
2.8294 -2.8294 5.4971
2.8294 2.8294 -5.4971
ATOMIC_POSITIONS angstrom
Tb 2.8294 0.0000 0.0000
Tb 0.0000 0.0000 2.4344
Tb 0.0000 2.8294 0.0000
Tb 0.0000 0.0000 8.5599
Pu 0.0000 0.0000 5.4971
N 1.3671 -1.3671 4.1233
N 1.4623 1.4623 1.3738
N -1.3671 1.3671 4.1233
N 1.3671 1.3671 6.8710
```

- D(E_F): 8.937 states/eV per cell
- Calculated density: 8.83 g cm⁻³

Entry two
VASP calculation (PBE) on crystalline Tb4PuN4 at its relaxed geometry. Values from VASP.

Structure (Quantum ESPRESSO input):
```
&SYSTEM
  ibrav = 0, nat = 9, ntyp = 3
/
ATOMIC_SPECIES
Tb 158.93 Tb.upf
Pu 244.00 Pu.upf
N 14.01 N.upf
CELL_PARAMETERS angstrom
-3.9258 3.9258 2.4751
3.9258 -3.9258 2.4751
3.9258 3.9258 -2.4751
ATOMIC_POSITIONS angstrom
Tb 5.4183 0.8346 0.0000
Tb 0.8346 2.4332 0.0000
Tb 3.0912 1.4926 2.4751
Tb -1.4926 3.0912 2.4751
Pu 0.0000 0.0000 2.4751
N 3.1732 1.6133 0.0000
N 2.3125 -0.7525 2.4751
N 1.6133 4.6783 0.0000
N 0.7525 2.3125 2.4751
```

- D(E_F): 9.303 states/eV per cell
- Calculated density: 10.18 g cm⁻³

Most stable = entry two

Entry one
VASP calculation (PBE) on crystalline Pu2TcN4 at its relaxed geometry. Values from VASP.

Structure (Quantum ESPRESSO input):
```
&SYSTEM
  ibrav = 0, nat = 14, ntyp = 3
/
ATOMIC_SPECIES
Pu 244.00 Pu.upf
Tc 98.00 Tc.upf
N 14.01 N.upf
CELL_PARAMETERS angstrom
2.6956 -5.9089 0.0000
2.6956 5.9089 0.0000
0.0000 0.0000 5.6270
ATOMIC_POSITIONS angstrom
Pu 2.6956 4.2324 5.4868
Pu 2.6956 1.6765 2.6733
Pu 2.6956 -1.6765 2.9537
Pu 2.6956 -4.2324 0.1402
Tc 0.0000 0.0000 2.8135
Tc 2.6956 0.0000 0.0000
N 2.6956 3.7675 3.2164
N 1.3478 0.2003 4.2203
N 1.3478 -0.2003 1.4068
N 2.6956 2.1413 0.4029
N 2.6956 -2.1413 5.2241
N 4.0433 0.2003 4.2203
N 4.0433 -0.2003 1.4068
N 2.6956 -3.7675 2.4106
```

- D(E_F): 19.206 states/eV per cell
- Calculated density: 11.90 g cm⁻³

Entry two
VASP calculation (PBE) on crystalline Pu2TcN4 at its relaxed geometry. Values from VASP.

Structure (Quantum ESPRESSO input):
```
&SYSTEM
  ibrav = 0, nat = 14, ntyp = 3
/
ATOMIC_SPECIES
Pu 244.00 Pu.upf
Tc 98.00 Tc.upf
N 14.01 N.upf
CELL_PARAMETERS angstrom
5.8779 0.0000 0.0000
0.0000 5.5815 0.0000
-2.0930 0.0000 6.2565
ATOMIC_POSITIONS angstrom
Pu 1.0290 1.3954 0.3064
Pu 0.4345 1.3954 3.5499
Pu 3.3504 4.1861 2.7067
Pu 2.7559 4.1861 5.9502
Tc -0.1452 4.1861 5.0560
Tc 3.9301 1.3954 1.2005
N -1.3902 2.7976 4.7309
N -1.3902 5.5746 4.7309
N 1.3698 4.1861 3.9583
N 2.5135 4.1861 0.5524
N 1.2714 1.3954 5.7041
N 2.4151 1.3954 2.2982
N 5.1751 0.0069 1.5256
N 5.1751 2.7839 1.5256
```

- D(E_F): 25.585 states/eV per cell
- Calculated density: 10.39 g cm⁻³

Most stable = entry one

Entry one
VASP calculation (PBE) on crystalline Pu2TcN at its relaxed geometry. Values from VASP.

Structure (Quantum ESPRESSO input):
```
&SYSTEM
  ibrav = 0, nat = 4, ntyp = 3
/
ATOMIC_SPECIES
Pu 244.00 Pu.upf
Tc 98.00 Tc.upf
N 14.01 N.upf
CELL_PARAMETERS angstrom
3.1371 0.0000 0.0000
0.0000 3.1371 0.0000
0.0000 0.0000 6.6800
ATOMIC_POSITIONS angstrom
Pu 0.0000 0.0000 1.4273
Pu 0.0000 0.0000 5.2526
Tc 1.5685 1.5685 3.3400
N 1.5685 1.5685 0.0000
```

- D(E_F): 9.675 states/eV per cell
- Calculated density: 15.16 g cm⁻³

Entry two
VASP calculation (PBE) on crystalline Pu2TcN at its relaxed geometry. Values from VASP.

Structure (Quantum ESPRESSO input):
```
&SYSTEM
  ibrav = 0, nat = 4, ntyp = 3
/
ATOMIC_SPECIES
Pu 244.00 Pu.upf
Tc 98.00 Tc.upf
N 14.01 N.upf
CELL_PARAMETERS angstrom
1.6342 0.9435 7.9260
-1.6342 0.9435 7.9260
0.0000 -1.8870 7.9260
ATOMIC_POSITIONS angstrom
Pu 0.0000 0.0000 2.4851
Pu 0.0000 0.0000 21.2929
Tc 0.0000 0.0000 0.0000
N 0.0000 0.0000 11.8890
```

- D(E_F): 9.840 states/eV per cell
- Calculated density: 13.59 g cm⁻³

Most stable = entry one

Entry one
VASP calculation (PBE) on crystalline PuTcN2 at its relaxed geometry. Values from VASP.

Structure (Quantum ESPRESSO input):
```
&SYSTEM
  ibrav = 0, nat = 16, ntyp = 3
/
ATOMIC_SPECIES
Pu 244.00 Pu.upf
Tc 98.00 Tc.upf
N 14.01 N.upf
CELL_PARAMETERS angstrom
5.5333 0.0000 0.0000
0.0000 3.2438 0.0000
0.0000 0.0000 10.7714
ATOMIC_POSITIONS angstrom
Pu 0.4299 0.8110 1.5438
Pu 2.3367 2.4329 6.9295
Pu 3.1966 0.8110 3.8419
Pu 5.1033 2.4329 9.2276
Tc 0.4027 2.4329 4.2933
Tc 2.3639 0.8110 9.6790
Tc 3.1693 2.4329 1.0924
Tc 5.1306 0.8110 6.4781
N 0.8760 0.8110 8.1362
N 1.3783 0.8110 5.3482
N 1.3884 2.4329 10.7339
N 1.8906 2.4329 2.7505
N 3.6427 0.8110 8.0209
N 4.1449 0.8110 0.0375
N 4.1550 2.4329 5.4232
N 4.6572 2.4329 2.6352
```

- D(E_F): 21.835 states/eV per cell
- Calculated density: 12.71 g cm⁻³

Entry two
VASP calculation (PBE) on crystalline PuTcN2 at its relaxed geometry. Values from VASP.

Structure (Quantum ESPRESSO input):
```
&SYSTEM
  ibrav = 0, nat = 4, ntyp = 3
/
ATOMIC_SPECIES
Pu 244.00 Pu.upf
Tc 98.00 Tc.upf
N 14.01 N.upf
CELL_PARAMETERS angstrom
1.6894 0.9754 4.7825
-1.6894 0.9754 4.7825
0.0000 -1.9508 4.7825
ATOMIC_POSITIONS angstrom
Pu 0.0000 0.0000 0.0000
Tc 0.0000 0.0000 7.1738
N 0.0000 0.0000 3.4519
N 0.0000 0.0000 10.8957
```

- D(E_F): 5.851 states/eV per cell
- Calculated density: 12.99 g cm⁻³

Most stable = entry one

Entry one
VASP calculation (PBE) on crystalline Pu3UN6 at its relaxed geometry. Values from VASP.

Structure (Quantum ESPRESSO input):
```
&SYSTEM
  ibrav = 0, nat = 20, ntyp = 3
/
ATOMIC_SPECIES
Pu 244.00 Pu.upf
U 238.03 U.upf
N 14.01 N.upf
CELL_PARAMETERS angstrom
5.7424 0.0000 0.0000
-2.8712 4.9731 0.0000
0.0000 0.0000 10.7905
ATOMIC_POSITIONS angstrom
Pu 0.0000 0.0000 0.0000
Pu 0.0000 0.0000 5.3952
Pu 0.0000 3.3154 0.6014
Pu 0.0000 3.3154 4.7939
Pu 2.8712 1.6577 5.9966
Pu 2.8712 1.6577 10.1891
U 0.0000 3.3154 8.0929
U 2.8712 1.6577 2.6976
N -0.7452 1.8291 6.6621
N -1.6598 3.4131 9.5237
N 0.7452 1.8291 9.5237
N -0.9145 4.7039 6.6621
N 1.9567 0.2692 4.1284
N 1.2114 1.5599 1.2668
N 1.6598 3.4131 6.6621
N 0.9145 4.7039 9.5237
N 3.7857 0.2692 1.2668
N 2.1260 3.1440 4.1284
N 4.5310 1.5599 4.1284
N 3.6164 3.1440 1.2668
```

- D(E_F): 35.466 states/eV per cell
- Calculated density: 11.36 g cm⁻³

Entry two
VASP calculation (PBE) on crystalline Pu3UN6 at its relaxed geometry. Values from VASP.

Structure (Quantum ESPRESSO input):
```
&SYSTEM
  ibrav = 0, nat = 10, ntyp = 3
/
ATOMIC_SPECIES
Pu 244.00 Pu.upf
U 238.03 U.upf
N 14.01 N.upf
CELL_PARAMETERS angstrom
2.9563 1.7068 4.8294
-2.9563 1.7068 4.8294
0.0000 -3.4137 4.8294
ATOMIC_POSITIONS angstrom
Pu 0.0000 0.0000 0.0000
Pu 0.0000 0.0000 3.2529
Pu 0.0000 0.0000 7.2453
U 0.0000 0.0000 10.4899
N -0.9736 -2.0263 6.5875
N -1.6507 0.1011 9.0349
N -1.2680 1.8563 6.5875
N 0.7378 -1.4801 9.0349
N 2.2416 0.1700 6.5875
N 0.9129 1.3790 9.0349
```

- D(E_F): 27.563 states/eV per cell
- Calculated density: 11.97 g cm⁻³

Most stable = entry two

Entry one
VASP calculation (PBE) on crystalline PuVN at its relaxed geometry. Values from VASP.

Structure (Quantum ESPRESSO input):
```
&SYSTEM
  ibrav = 0, nat = 3, ntyp = 3
/
ATOMIC_SPECIES
Pu 244.00 Pu.upf
V 50.94 V.upf
N 14.01 N.upf
CELL_PARAMETERS angstrom
-1.4055 1.4055 5.6054
1.4055 -1.4055 5.6054
1.4055 1.4055 -5.6054
ATOMIC_POSITIONS angstrom
Pu 0.0000 0.0000 0.0000
V 0.0000 0.0000 3.2679
N 0.0000 0.0000 8.5621
```

- D(E_F): 4.885 states/eV per cell
- Calculated density: 11.58 g cm⁻³

Entry two
VASP calculation (PBE) on crystalline PuVN at its relaxed geometry. Values from VASP.

Structure (Quantum ESPRESSO input):
```
&SYSTEM
  ibrav = 0, nat = 3, ntyp = 3
/
ATOMIC_SPECIES
Pu 244.00 Pu.upf
V 50.94 V.upf
N 14.01 N.upf
CELL_PARAMETERS angstrom
3.0723 0.0000 0.0000
-1.5361 2.6607 0.0000
0.0000 0.0000 5.4152
ATOMIC_POSITIONS angstrom
Pu 0.0000 0.0000 0.0000
V 1.5361 0.8869 2.8398
N 0.0000 1.7738 3.7803
```

- D(E_F): 6.721 states/eV per cell
- Calculated density: 11.59 g cm⁻³

Most stable = entry two

Entry one
VASP calculation (PBE) on crystalline YPuN at its relaxed geometry. Values from VASP.

Structure (Quantum ESPRESSO input):
```
&SYSTEM
  ibrav = 0, nat = 3, ntyp = 3
/
ATOMIC_SPECIES
Y 88.91 Y.upf
Pu 244.00 Pu.upf
N 14.01 N.upf
CELL_PARAMETERS angstrom
0.0000 3.0246 3.0246
3.0246 0.0000 3.0246
3.0246 3.0246 0.0000
ATOMIC_POSITIONS angstrom
Y 0.0000 0.0000 0.0000
Pu 3.0246 3.0246 3.0246
N 4.5370 4.5370 4.5370
```

- D(E_F): 6.607 states/eV per cell
- Calculated density: 10.41 g cm⁻³

Entry two
VASP calculation (PBE) on crystalline YPuN at its relaxed geometry. Values from VASP.

Structure (Quantum ESPRESSO input):
```
&SYSTEM
  ibrav = 0, nat = 6, ntyp = 3
/
ATOMIC_SPECIES
Y 88.91 Y.upf
Pu 244.00 Pu.upf
N 14.01 N.upf
CELL_PARAMETERS angstrom
-3.0484 3.4260 2.9912
3.0484 -3.4260 2.9912
3.0484 3.4260 -2.9912
ATOMIC_POSITIONS angstrom
Y 0.0000 0.0000 0.0000
Y 0.0000 3.4260 0.0000
Pu 3.0484 1.7130 0.0307
Pu 0.0000 1.7130 2.9605
N 1.5242 1.7130 -1.4956
N 1.5242 -1.7130 1.4956
```

- D(E_F): 11.748 states/eV per cell
- Calculated density: 9.22 g cm⁻³

Entry three
VASP calculation (PBE) on crystalline YPuN at its relaxed geometry. Values from VASP.

Structure (Quantum ESPRESSO input):
```
&SYSTEM
  ibrav = 0, nat = 3, ntyp = 3
/
ATOMIC_SPECIES
Y 88.91 Y.upf
Pu 244.00 Pu.upf
N 14.01 N.upf
CELL_PARAMETERS angstrom
-1.6457 1.6457 6.4457
1.6457 -1.6457 6.4457
1.6457 1.6457 -6.4457
ATOMIC_POSITIONS angstrom
Y 0.0000 0.0000 0.0000
Pu 0.0000 0.0000 3.6917
N 0.0000 0.0000 5.9045
```

- D(E_F): 6.181 states/eV per cell
- Calculated density: 8.25 g cm⁻³

Entry four
VASP calculation (PBE) on crystalline YPuN at its relaxed geometry. Values from VASP.

Structure (Quantum ESPRESSO input):
```
&SYSTEM
  ibrav = 0, nat = 3, ntyp = 3
/
ATOMIC_SPECIES
Y 88.91 Y.upf
Pu 244.00 Pu.upf
N 14.01 N.upf
CELL_PARAMETERS angstrom
3.4494 0.0000 0.0000
-1.7247 2.9873 0.0000
0.0000 0.0000 6.1011
ATOMIC_POSITIONS angstrom
Y 0.0000 0.0000 0.0000
Pu 0.0000 1.9915 2.7745
N 1.7247 0.9958 1.3993
```

- D(E_F): 5.182 states/eV per cell
- Calculated density: 9.16 g cm⁻³

Most stable = entry four